(1)
! PBE CaPdW, relaxed; values from VASP
! Energy of formation (eV per atom): 0.082
! Symmetry: P-1
&SYSTEM
  ibrav = 0, nat = 6, ntyp = 3
/
ATOMIC_SPECIES
Ca 40.08 Ca.upf
Pd 106.42 Pd.upf
W 183.84 W.upf
CELL_PARAMETERS angstrom
2.9059 0.0000 0.0000
-0.0064 4.7966 0.0000
-1.3472 -0.4385 8.1699
ATOMIC_POSITIONS crystal
Ca 0.1107 0.2075 0.1927
Ca 0.8893 0.7925 0.8073
Pd 0.4417 0.3018 0.8535
Pd 0.5583 0.6982 0.1465
W 0.1475 0.7416 0.4431
W 0.8525 0.2584 0.5569

(2)
! PBE Li2Tb2Ga3, relaxed; values from VASP
! Energy of formation (eV per atom): -0.429
! Symmetry: Cmcm
&SYSTEM
  ibrav = 0, nat = 14, ntyp = 3
/
ATOMIC_SPECIES
Li 6.94 Li.upf
Tb 158.93 Tb.upf
Ga 69.72 Ga.upf
CELL_PARAMETERS angstrom
2.1373 -9.5304 0.0000
2.1373 9.5304 0.0000
0.0000 0.0000 7.0841
ATOMIC_POSITIONS crystal
Li 0.1883 0.8117 0.5600
Li 0.1883 0.8117 0.9400
Li 0.8117 0.1883 0.0600
Li 0.8117 0.1883 0.4400
Tb 0.3462 0.6538 0.7500
Tb 0.4460 0.5540 0.2500
Tb 0.5540 0.4460 0.7500
Tb 0.6538 0.3462 0.2500
Ga 0.0598 0.9402 0.0702
Ga 0.0598 0.9402 0.4298
Ga 0.2751 0.7249 0.2500
Ga 0.7249 0.2751 0.7500
Ga 0.9402 0.0598 0.5702
Ga 0.9402 0.0598 0.9298

(3)
! PBE SmCu5Au7, relaxed; values from VASP
! Energy of formation (eV per atom): -0.242
! Symmetry: Imm2
&SYSTEM
  ibrav = 0, nat = 13, ntyp = 3
/
ATOMIC_SPECIES
Sm 150.36 Sm.upf
Cu 63.55 Cu.upf
Au 196.97 Au.upf
CELL_PARAMETERS angstrom
-2.6252 4.5536 4.5766
2.6252 -4.5536 4.5766
2.6252 4.5536 -4.5766
ATOMIC_POSITIONS crystal
Sm 0.0000 0.0000 0.0000
Cu 0.0103 0.0040 0.5037
Cu 0.0103 0.5065 0.0063
Cu 0.2362 0.7362 0.5000
Cu 0.5003 0.0040 0.9937
Cu 0.5003 0.5065 0.4963
Au 0.2132 0.5103 0.7029
Au 0.3352 0.3352 0.0000
Au 0.3416 0.0006 0.3410
Au 0.6584 0.6584 0.0000
Au 0.6596 0.0006 0.6590
Au 0.7788 0.2788 0.5000
Au 0.8073 0.5103 0.2971

(4)
! PBE HoReC, relaxed; values from VASP
! Energy of formation (eV per atom): 0.120
! Symmetry: Fddd
&SYSTEM
  ibrav = 0, nat = 12, ntyp = 3
/
ATOMIC_SPECIES
Ho 164.93 Ho.upf
Re 186.21 Re.upf
C 12.01 C.upf
CELL_PARAMETERS angstrom
0.0000 4.7222 5.4876
3.4459 0.0000 5.4876
3.4459 4.7222 0.0000
ATOMIC_POSITIONS crystal
Ho 0.0000 0.0000 0.0000
Ho 0.0000 0.0000 0.5000
Ho 0.0000 0.5000 0.0000
Ho 0.5000 0.0000 0.0000
Re 0.2475 0.2475 0.5025
Re 0.4975 0.4975 0.7525
Re 0.5025 0.5025 0.2475
Re 0.7525 0.7525 0.4975
C 0.2072 0.5428 0.2072
C 0.4572 0.7928 0.4572
C 0.5428 0.2072 0.5428
C 0.7928 0.4572 0.7928

(5)
! PBE KTlHg2Pt, relaxed; values from VASP
! Energy of formation (eV per atom): -0.208
! Symmetry: P4/mmm
&SYSTEM
  ibrav = 0, nat = 5, ntyp = 4
/
ATOMIC_SPECIES
K 39.10 K.upf
Tl 204.38 Tl.upf
Hg 200.59 Hg.upf
Pt 195.08 Pt.upf
CELL_PARAMETERS angstrom
5.4105 0.0000 0.0000
0.0000 5.4105 0.0000
0.0000 0.0000 5.2861
ATOMIC_POSITIONS crystal
K 0.0000 0.0000 0.0000
Tl 0.5000 0.5000 0.0000
Hg 0.0000 0.5000 0.5000
Hg 0.5000 0.0000 0.5000
Pt 0.5000 0.5000 0.5000

(6)
! PBE Sm12Ge3P5, relaxed; values from VASP
! Energy of formation (eV per atom): -0.764
! Symmetry: Ia-3d
&SYSTEM
  ibrav = 0, nat = 80, ntyp = 3
/
ATOMIC_SPECIES
Sm 150.36 Sm.upf
Ge 72.64 Ge.upf
P 30.97 P.upf
CELL_PARAMETERS angstrom
-8.4590 8.4590 8.4590
8.4590 -8.4590 8.4590
8.4590 8.4590 -8.4590
ATOMIC_POSITIONS crystal
Sm 0.0445 0.2175 0.1300
Sm 0.0445 0.3270 0.9145
Sm 0.0855 0.6300 0.4125
Sm 0.0855 0.9555 0.6730
Sm 0.0875 0.7175 0.6730
Sm 0.0875 0.8700 0.4145
Sm 0.1300 0.0445 0.2175
Sm 0.1300 0.5855 0.9125
Sm 0.1730 0.2175 0.5875
Sm 0.1730 0.4555 0.5855
Sm 0.2175 0.1300 0.0445
Sm 0.2175 0.5875 0.1730
Sm 0.2825 0.3270 0.9125
Sm 0.2825 0.4555 0.3700
Sm 0.3270 0.9125 0.2825
Sm 0.3270 0.9145 0.0445
Sm 0.3700 0.2825 0.4555
Sm 0.3700 0.5875 0.9145
Sm 0.4125 0.0855 0.6300
Sm 0.4125 0.8270 0.7825
Sm 0.4145 0.0875 0.8700
Sm 0.4145 0.8270 0.5445
Sm 0.4555 0.3700 0.2825
Sm 0.4555 0.5855 0.1730
Sm 0.5445 0.4145 0.8270
Sm 0.5445 0.6300 0.7175
Sm 0.5855 0.1730 0.4555
Sm 0.5855 0.9125 0.1300
Sm 0.5875 0.1730 0.2175
Sm 0.5875 0.9145 0.3700
Sm 0.6300 0.4125 0.0855
Sm 0.6300 0.7175 0.5445
Sm 0.6730 0.0855 0.9555
Sm 0.6730 0.0875 0.7175
Sm 0.7175 0.5445 0.6300
Sm 0.7175 0.6730 0.0875
Sm 0.7825 0.4125 0.8270
Sm 0.7825 0.8700 0.9555
Sm 0.8270 0.5445 0.4145
Sm 0.8270 0.7825 0.4125
Sm 0.8700 0.4145 0.0875
Sm 0.8700 0.9555 0.7825
Sm 0.9125 0.1300 0.5855
Sm 0.9125 0.2825 0.3270
Sm 0.9145 0.0445 0.3270
Sm 0.9145 0.3700 0.5875
Sm 0.9555 0.6730 0.0855
Sm 0.9555 0.7825 0.8700
Ge 0.1250 0.2500 0.3750
Ge 0.1250 0.3750 0.7500
Ge 0.2500 0.3750 0.1250
Ge 0.2500 0.8750 0.6250
Ge 0.3750 0.1250 0.2500
Ge 0.3750 0.7500 0.1250
Ge 0.6250 0.2500 0.8750
Ge 0.6250 0.8750 0.7500
Ge 0.7500 0.1250 0.3750
Ge 0.7500 0.6250 0.8750
Ge 0.8750 0.6250 0.2500
Ge 0.8750 0.7500 0.6250
P 0.0000 0.0000 0.0000
P 0.0000 0.0000 0.5000
P 0.0000 0.5000 0.0000
P 0.0000 0.5000 0.5000
P 0.1250 0.7500 0.8750
P 0.1250 0.8750 0.2500
P 0.2500 0.1250 0.8750
P 0.2500 0.6250 0.3750
P 0.3750 0.2500 0.6250
P 0.3750 0.6250 0.7500
P 0.5000 0.0000 0.0000
P 0.5000 0.0000 0.5000
P 0.5000 0.5000 0.0000
P 0.5000 0.5000 0.5000
P 0.6250 0.3750 0.2500
P 0.6250 0.7500 0.3750
P 0.7500 0.3750 0.6250
P 0.7500 0.8750 0.1250
P 0.8750 0.1250 0.7500
P 0.8750 0.2500 0.1250

(7)
! PBE RbSrGa2Pt, relaxed; values from VASP
! Energy of formation (eV per atom): -0.275
! Symmetry: P4/mmm
&SYSTEM
  ibrav = 0, nat = 5, ntyp = 4
/
ATOMIC_SPECIES
Rb 85.47 Rb.upf
Sr 87.62 Sr.upf
Ga 69.72 Ga.upf
Pt 195.08 Pt.upf
CELL_PARAMETERS angstrom
5.0381 0.0000 0.0000
0.0000 5.0381 0.0000
0.0000 0.0000 5.7952
ATOMIC_POSITIONS crystal
Rb 0.0000 0.0000 0.0000
Sr 0.5000 0.5000 0.0000
Ga 0.0000 0.5000 0.5000
Ga 0.5000 0.0000 0.5000
Pt 0.5000 0.5000 0.5000

(8)
! PBE La2PmNd2Cd, relaxed; values from VASP
! Energy of formation (eV per atom): 0.043
! Symmetry: Pnnm
&SYSTEM
  ibrav = 0, nat = 12, ntyp = 4
/
ATOMIC_SPECIES
La 138.91 La.upf
Pm 145.00 Pm.upf
Nd 144.24 Nd.upf
Cd 112.41 Cd.upf
CELL_PARAMETERS angstrom
6.7205 0.0000 0.0000
0.0000 10.2219 0.0000
0.0000 0.0000 5.8554
ATOMIC_POSITIONS crystal
La 0.2027 0.1369 0.0000
La 0.2973 0.6369 0.5000
La 0.7027 0.3631 0.5000
La 0.7973 0.8631 0.0000
Pm 0.0000 0.5000 0.0000
Pm 0.5000 0.0000 0.5000
Nd 0.2017 0.2956 0.5000
Nd 0.2983 0.7956 0.0000
Nd 0.7017 0.2044 0.0000
Nd 0.7983 0.7044 0.5000
Cd 0.0000 0.0000 0.5000
Cd 0.5000 0.5000 0.0000

Among the records above, which one has the highest energy of formation?
HoReC